[1]
## PrEuCuSi (PBE)

Data for a relaxed structure of PrEuCuSi.

Unit cell a=5.158 b=5.158 c=5.158 alpha=60.00 beta=60.00 gamma=60.00
Fractional positions:
Pr 0.000 0.000 0.000
Eu 0.500 0.500 0.500
Cu 0.750 0.750 0.750
Si 0.250 0.250 0.250

Its space group is F-43m. The formation energy from raw total energies is -327 meV/atom.

[2]
## Pr3Ho6Tm2Pu (PBE)

Data for a relaxed structure of Pr3Ho6Tm2Pu.

Unit cell a=6.162 b=6.162 c=11.722 alpha=95.04 beta=95.04 gamma=120.01
Fractional positions:
Pr 0.000 0.000 0.000
Pr 0.333 0.667 0.000
Pr 0.667 0.333 0.000
Ho 0.090 0.419 0.257
Ho 0.252 0.252 0.743
Ho 0.419 0.090 0.257
Ho 0.581 0.910 0.743
Ho 0.748 0.748 0.257
Ho 0.910 0.581 0.743
Tm 0.167 0.833 0.500
Tm 0.833 0.167 0.500
Pu 0.500 0.500 0.500

Its space group is C2/m. The formation energy is 0.6 eV/f.u.

[3]
## Ho2Er2Rh3 (PBE)

Data for a relaxed structure of Ho2Er2Rh3.

Unit cell a=4.294 b=5.789 c=7.165 alpha=88.55 beta=72.64 gamma=68.29
Fractional positions:
Ho 0.100 0.212 0.089
Ho 0.900 0.788 0.911
Er 0.207 0.707 0.380
Er 0.793 0.293 0.620
Rh 0.497 0.850 0.657
Rh 0.500 0.500 0.000
Rh 0.503 0.150 0.343

Its space group is P-1. The formation energy is -5.5 eV/f.u.

[4]
## BiSb2RuI (PBE)

Data for a relaxed structure of BiSb2RuI.

Unit cell a=5.114 b=5.114 c=5.580 alpha=90.00 beta=90.00 gamma=90.00
Fractional positions:
Bi 0.000 0.000 0.000
Sb 0.000 0.500 0.500
Sb 0.500 0.000 0.500
Ru 0.500 0.500 0.500
I 0.500 0.500 0.000

Its space group is P4/mmm. The formation energy from raw total energies is 425 meV/atom.

[5]
## Cs3AlIn (PBE)

Data for a relaxed structure of Cs3AlIn.

Unit cell a=7.386 b=7.386 c=7.386 alpha=90.00 beta=90.00 gamma=90.00
Fractional positions:
Cs 0.000 0.000 0.500
Cs 0.000 0.500 0.000
Cs 0.500 0.000 0.000
Al 0.500 0.500 0.500
In 0.000 0.000 0.000

Its space group is Pm-3m. The formation energy is 2.8 eV/f.u.

[6]
## IrOs3Br (PBE)

Data for a relaxed structure of IrOs3Br.

Unit cell a=4.482 b=4.482 c=4.482 alpha=90.00 beta=90.00 gamma=90.00
Fractional positions:
Ir 0.000 0.000 0.000
Os 0.000 0.500 0.500
Os 0.500 0.000 0.500
Os 0.500 0.500 0.000
Br 0.500 0.500 0.500

Its space group is Pm-3m. The formation energy from raw total energies is 2643 meV/atom.

[7]
## Ce5PmRu3 (PBE)

Data for a relaxed structure of Ce5PmRu3.

Unit cell a=7.697 b=7.697 c=10.236 alpha=109.08 beta=109.08 gamma=71.48
Fractional positions:
Ce 0.077 0.077 0.373
Ce 0.143 0.539 0.331
Ce 0.201 0.799 0.000
Ce 0.268 0.268 0.969
Ce 0.461 0.857 0.669
Ce 0.539 0.143 0.331
Ce 0.732 0.732 0.031
Ce 0.799 0.201 0.000
Ce 0.857 0.461 0.669
Ce 0.923 0.923 0.627
Pm 0.388 0.388 0.695
Pm 0.612 0.612 0.305
Ru 0.148 0.148 0.675
Ru 0.169 0.169 0.167
Ru 0.500 0.500 0.000
Ru 0.500 0.500 0.500
Ru 0.831 0.831 0.833
Ru 0.852 0.852 0.325

Its space group is C2/m. The formation energy is -1.4 eV/f.u.

[8]
## Li2CuHAu (PBE)

Data for a relaxed structure of Li2CuHAu.

Unit cell a=3.983 b=3.983 c=3.791 alpha=90.00 beta=90.00 gamma=90.00
Fractional positions:
Li 0.000 0.500 0.000
Li 0.500 0.000 0.000
Cu 0.000 0.000 0.500
H 0.500 0.500 0.000
Au 0.500 0.500 0.500

Its space group is P4/mmm. For the total DFT energy (no corrections), the calculation gives -15.58 eV for the cell shown.

[9]
## La4Sb2O (PBE)

Data for a relaxed structure of La4Sb2O.

Unit cell a=7.310 b=6.752 c=9.032 alpha=90.00 beta=107.18 gamma=90.00
Fractional positions:
La 0.004 0.018 0.278
La 0.004 0.482 0.278
La 0.365 0.250 0.064
La 0.412 0.250 0.637
La 0.588 0.750 0.363
La 0.635 0.750 0.936
La 0.996 0.518 0.722
La 0.996 0.982 0.722
Sb 0.234 0.750 0.050
Sb 0.298 0.750 0.576
Sb 0.702 0.250 0.424
Sb 0.766 0.250 0.950
O 0.202 0.250 0.802
O 0.798 0.750 0.198

Its space group is P2_1/m. The formation energy from raw total energies is -1511 meV/atom.

[10]
## Cs5SnS5 (PBE)

Data for a relaxed structure of Cs5SnS5.

Unit cell a=8.350 b=8.350 c=9.284 alpha=108.21 beta=108.21 gamma=47.15
Fractional positions:
Cs 0.000 0.000 0.000
Cs 0.305 0.305 0.208
Cs 0.340 0.340 0.672
Cs 0.660 0.660 0.328
Cs 0.695 0.695 0.792
Sn 0.000 0.000 0.500
S 0.125 0.125 0.381
S 0.128 0.128 0.765
S 0.500 0.500 0.500
S 0.872 0.872 0.235
S 0.875 0.875 0.619

Its space group is C2/m. The formation energy from raw total energies is -725 meV/atom.

[11]
## NaLiZn2 (PBE)

Data for a relaxed structure of NaLiZn2.

Unit cell a=4.137 b=4.137 c=4.434 alpha=90.00 beta=90.00 gamma=90.00
Fractional positions:
Na 0.000 0.000 0.000
Li 0.500 0.500 0.000
Zn 0.000 0.500 0.500
Zn 0.500 0.000 0.500

Its space group is P4/mmm. The formation energy is 0.1 eV/f.u.

[12]
## La6PmNd2Er (PBE)

Data for a relaxed structure of La6PmNd2Er.

Unit cell a=9.166 b=9.166 c=9.314 alpha=90.04 beta=90.04 gamma=114.46
Fractional positions:
La 0.029 0.466 0.819
La 0.077 0.777 0.592
La 0.223 0.923 0.908
La 0.281 0.570 0.406
La 0.430 0.719 0.094
La 0.466 0.029 0.319
La 0.534 0.971 0.681
La 0.570 0.281 0.906
La 0.719 0.430 0.594
La 0.777 0.077 0.092
La 0.923 0.223 0.408
La 0.971 0.534 0.181
Pm 0.069 0.931 0.250
Pm 0.931 0.069 0.750
Nd 0.206 0.296 0.064
Nd 0.296 0.206 0.564
Nd 0.704 0.794 0.436
Nd 0.794 0.704 0.936
Er 0.430 0.570 0.750
Er 0.570 0.430 0.250

Its space group is C2/c. The formation energy is 1.1 eV/f.u.

[13]
## Y3Zr (PBE)

Data for a relaxed structure of Y3Zr.

Unit cell a=5.657 b=5.657 c=5.657 alpha=90.00 beta=90.00 gamma=90.00
Fractional positions:
Y 0.000 0.000 0.500
Y 0.000 0.500 0.000
Y 0.500 0.000 0.000
Zr 0.000 0.000 0.000

Its space group is Pm-3m. The formation energy is 4.2 eV/f.u.

[14]
## LiPaCoNi (PBE)

Data for a relaxed structure of LiPaCoNi.

Unit cell a=4.453 b=4.453 c=4.453 alpha=60.00 beta=60.00 gamma=60.00
Fractional positions:
Li 0.000 0.000 0.000
Pa 0.500 0.500 0.500
Co 0.750 0.750 0.750
Ni 0.250 0.250 0.250

Its space group is F-43m. The formation energy is -0.2 eV/f.u.

[15]
## Li3NiSn3S8 (PBE)

Data for a relaxed structure of Li3NiSn3S8.

Unit cell a=7.573 b=7.573 c=7.573 alpha=58.41 beta=58.41 gamma=58.41
Fractional positions:
Li 0.000 0.500 0.500
Li 0.500 0.000 0.500
Li 0.500 0.500 0.000
Ni 0.500 0.500 0.500
Sn 0.000 0.000 0.500
Sn 0.000 0.500 0.000
Sn 0.500 0.000 0.000
S 0.252 0.252 0.252
S 0.264 0.730 0.730
S 0.270 0.270 0.736
S 0.270 0.736 0.270
S 0.730 0.264 0.730
S 0.730 0.730 0.264
S 0.736 0.270 0.270
S 0.748 0.748 0.748

Its space group is R-3m. The formation energy from raw total energies is -611 meV/atom.

[16]
## Li2Tc2P2H (PBE)

Data for a relaxed structure of Li2Tc2P2H.

Unit cell a=6.802 b=6.802 c=6.802 alpha=146.41 beta=146.41 gamma=48.23
Fractional positions:
Li 0.172 0.172 0.000
Li 0.828 0.828 0.000
Tc 0.000 0.500 0.500
Tc 0.500 0.000 0.500
P 0.379 0.379 0.000
P 0.621 0.621 0.000
H 0.000 0.000 0.000

Its space group is I4/mmm. For the total DFT energy (no corrections), the calculation gives -41.23 eV for the cell shown.

[17]
## SrLiSi4 (PBE)

Data for a relaxed structure of SrLiSi4.

Unit cell a=5.354 b=5.354 c=5.354 alpha=60.00 beta=60.00 gamma=60.00
Fractional positions:
Sr 0.000 0.000 0.000
Li 0.750 0.750 0.750
Si 0.377 0.377 0.377
Si 0.377 0.377 0.869
Si 0.377 0.869 0.377
Si 0.869 0.377 0.377

Its space group is F-43m. The formation energy from raw total energies is -61 meV/atom.

[18]
## SbIrN2F (PBE)

Data for a relaxed structure of SbIrN2F.

Unit cell a=4.088 b=4.088 c=3.922 alpha=90.00 beta=90.00 gamma=90.00
Fractional positions:
Sb 0.000 0.000 0.000
Ir 0.500 0.500 0.500
N 0.000 0.500 0.000
N 0.500 0.000 0.000
F 0.000 0.000 0.500

Its space group is P4/mmm. The formation energy from raw total energies is 1254 meV/atom.

[19]
## ZrHg2 (PBE)

Data for a relaxed structure of ZrHg2.

Unit cell a=5.867 b=5.867 c=5.867 alpha=103.35 beta=103.35 gamma=122.57
Fractional positions:
Zr 0.250 0.250 0.000
Zr 0.750 0.750 0.000
Hg 0.159 0.659 0.818
Hg 0.341 0.159 0.500
Hg 0.659 0.841 0.500
Hg 0.841 0.341 0.182

Its space group is I4/mcm. The formation energy is 0.3 eV/f.u.

[20]
## CsCuBr2 (PBE)

Data for a relaxed structure of CsCuBr2.

Unit cell a=7.064 b=7.064 c=7.064 alpha=111.61 beta=111.61 gamma=105.28
Fractional positions:
Cs 0.000 0.000 0.000
Cs 0.750 0.250 0.500
Cu 0.250 0.750 0.500
Cu 0.500 0.500 0.000
Br 0.241 0.625 0.116
Br 0.375 0.491 0.616
Br 0.509 0.125 0.884
Br 0.875 0.759 0.384

Its space group is I-42d. The formation energy from raw total energies is -1003 meV/atom.

[21]
## VAgPb3 (PBE)

Data for a relaxed structure of VAgPb3.

Unit cell a=5.308 b=5.308 c=5.308 alpha=90.00 beta=90.00 gamma=90.00
Fractional positions:
V 0.000 0.000 0.000
Ag 0.500 0.500 0.500
Pb 0.000 0.000 0.500
Pb 0.000 0.500 0.000
Pb 0.500 0.000 0.000

Its space group is Pm-3m. The formation energy is 2.5 eV/f.u.

[22]
## Tb3Er2In4 (PBE)

Data for a relaxed structure of Tb3Er2In4.

Unit cell a=8.454 b=8.454 c=9.804 alpha=90.00 beta=90.00 gamma=131.09
Fractional positions:
Tb 0.000 0.000 0.000
Tb 0.029 0.471 0.250
Tb 0.471 0.029 0.750
Tb 0.500 0.500 0.500
Tb 0.529 0.971 0.250
Tb 0.971 0.529 0.750
Er 0.106 0.894 0.461
Er 0.394 0.606 0.961
Er 0.606 0.394 0.039
Er 0.894 0.106 0.539
In 0.196 0.804 0.019
In 0.240 0.260 0.250
In 0.260 0.240 0.750
In 0.304 0.696 0.519
In 0.696 0.304 0.481
In 0.740 0.760 0.250
In 0.760 0.740 0.750
In 0.804 0.196 0.981

Its space group is Cmce. The formation energy is -2.1 eV/f.u.

[23]
## BaTbCdGa (PBE)

Data for a relaxed structure of BaTbCdGa.

Unit cell a=5.553 b=5.553 c=5.553 alpha=60.00 beta=60.00 gamma=60.00
Fractional positions:
Ba 0.000 0.000 0.000
Tb 0.500 0.500 0.500
Cd 0.250 0.250 0.250
Ga 0.750 0.750 0.750

Its space group is F-43m. The formation energy is -0.9 eV/f.u.

[24]
## Tl3GePd12 (PBE)

Data for a relaxed structure of Tl3GePd12.

Unit cell a=4.051 b=4.051 c=16.160 alpha=90.00 beta=90.00 gamma=90.00
Fractional positions:
Tl 0.000 0.000 0.000
Tl 0.000 0.000 0.255
Tl 0.000 0.000 0.745
Ge 0.000 0.000 0.500
Pd 0.000 0.500 0.128
Pd 0.000 0.500 0.386
Pd 0.000 0.500 0.614
Pd 0.000 0.500 0.872
Pd 0.500 0.000 0.128
Pd 0.500 0.000 0.386
Pd 0.500 0.000 0.614
Pd 0.500 0.000 0.872
Pd 0.500 0.500 0.000
Pd 0.500 0.500 0.258
Pd 0.500 0.500 0.500
Pd 0.500 0.500 0.742

Its space group is P4/mmm. The formation energy is -3.7 eV/f.u.

| no. | magnetization (μB per formula unit) |
| --- | --- |
| 1 | 7.225 |
| 2 | 6.591 |
| 3 | 0.000 |
| 4 | 0.000 |
| 5 | 0.426 |
| 6 | 0.000 |
| 7 | 3.378 |
| 8 | 0.000 |
| 9 | 0.001 |
| 10 | 0.963 |
| 11 | 0.000 |
| 12 | 0.000 |
| 13 | 0.000 |
| 14 | 0.000 |
| 15 | 2.128 |
| 16 | 0.000 |
| 17 | 0.000 |
| 18 | 0.431 |
| 19 | 0.000 |
| 20 | 0.000 |
| 21 | 1.538 |
| 22 | 0.000 |
| 23 | 0.000 |
| 24 | 0.000 |